## VI2 (GGA-PBE)

Data for a geometry-optimized VI2 structure.

a = 4.118 Å, b = 4.118 Å, c = 7.347 Å
α = 90.00°, β = 90.00°, γ = 120.00°
Atoms (fractional coordinates):
I (0.667, 0.333, 0.787)
I (0.333, 0.667, 0.213)
V (0.000, 0.000, 0.000)

Properties
SG   P-3m1
Total magnetization   3.000 μB per formula unit
Mass density   4691 kg/m³
E_tot   -4.524 eV per atom
E_form (uncorrected)   -451 meV/atom